Record 1
A geometry-optimized LiEu2In structure. Source: Alexandria via LeMat-Bulk, functional PBE.

It has space group R-3m (No. 166, hexagonal axes), with a = 3.7661 Å, b = 3.7661 Å, c = 32.5758 Å, α = 90.00°, β = 90.00° and γ = 120.00°. The asymmetric unit holds Li at (0.0000, 0.0000, 0.0000), Eu at (0.0000, 0.0000, 0.2462) and In at (0.0000, 0.0000, 0.5000).

The formation energy is -0.075 eV/atom. The total energy is -76.5 eV for the cell shown. The total magnetic moment is 14.8 μB per formula unit.

---

Record 2
A geometry-optimized LiEuIn2 structure. Source: Alexandria via LeMat-Bulk, functional PBE.

It has space group P4/mmm (No. 123), with a = 3.5847 Å, b = 3.5847 Å, c = 7.7099 Å, α = 90.00°, β = 90.00° and γ = 90.00°. The asymmetric unit holds Li at (0.0000, 0.0000, 0.0000), Eu at (0.0000, 0.0000, 0.5000) and In at (0.5000, 0.5000, 0.2007).

The formation energy is -0.384 eV/atom. The total energy is -19.2 eV for the cell shown. The total magnetic moment is 7.0 μB per formula unit.

---

Record 3
A geometry-optimized LiEuIn2 structure. Source: Alexandria via LeMat-Bulk, functional PBE.

It has space group P4/mmm (No. 123), with a = 5.2182 Å, b = 5.2182 Å, c = 3.9235 Å, α = 90.00°, β = 90.00° and γ = 90.00°. The asymmetric unit holds Li at (0.0000, 0.0000, 0.0000), Eu at (0.5000, 0.5000, 0.0000) and In at (0.0000, 0.5000, 0.5000).

The formation energy is -0.305 eV/atom. The total energy is -18.9 eV for the cell shown. The total magnetic moment is 7.1 μB per formula unit.

---

Record 4
A geometry-optimized LiEuIn3 structure. Source: Alexandria via LeMat-Bulk, functional PBE.

It has space group Pm-3m (No. 221), with a = 5.0602 Å, b = 5.0602 Å, c = 5.0602 Å, α = 90.00°, β = 90.00° and γ = 90.00°. The asymmetric unit holds Li at (0.0000, 0.0000, 0.0000), Eu at (0.5000, 0.5000, 0.5000) and In at (0.0000, 0.0000, 0.5000).

The formation energy is -0.187 eV/atom. The total energy is -21.3 eV for the cell shown. The total magnetic moment is 7.0 μB per formula unit.

---

Record 5
A geometry-optimized LiEu2In structure. Source: Alexandria via LeMat-Bulk, functional PBE.

It has space group P4/mmm (No. 123), with a = 5.5837 Å, b = 5.5837 Å, c = 3.9732 Å, α = 90.00°, β = 90.00° and γ = 90.00°. The asymmetric unit holds Li at (0.0000, 0.0000, 0.0000), Eu at (0.0000, 0.5000, 0.5000) and In at (0.5000, 0.5000, 0.0000).

The formation energy is -0.240 eV/atom. The total energy is -26.2 eV for the cell shown. The total magnetic moment is 14.6 μB per formula unit.

---

Record 6
A geometry-optimized LiEuLuIn structure. Source: Alexandria via LeMat-Bulk, functional PBE.

It has space group F-43m (No. 216), with a = 7.5916 Å, b = 7.5916 Å, c = 7.5916 Å, α = 90.00°, β = 90.00° and γ = 90.00°. The asymmetric unit holds Li at (0.0000, 0.0000, 0.0000), Eu at (0.2500, 0.2500, 0.2500), Lu at (0.2500, 0.2500, 0.7500) and In at (0.0000, 0.0000, 0.5000).

The formation energy is -0.205 eV/atom. The total energy is -81.1 eV for the cell shown. The total magnetic moment is 7.2 μB per formula unit.

---

Record 7
A geometry-optimized LiEuMgIn structure. Source: Alexandria via LeMat-Bulk, functional PBE.

It has space group F-43m (No. 216), with a = 7.2653 Å, b = 7.2653 Å, c = 7.2653 Å, α = 90.00°, β = 90.00° and γ = 90.00°. The asymmetric unit holds Li at (0.0000, 0.0000, 0.0000), Eu at (0.2500, 0.2500, 0.7500), Mg at (0.0000, 0.0000, 0.5000) and In at (0.2500, 0.2500, 0.2500).

The formation energy is -0.257 eV/atom. The total energy is -70.2 eV for the cell shown. The total magnetic moment is 7.1 μB per formula unit.

---

Record 8
A geometry-optimized NaLiEuIn structure. Source: Alexandria via LeMat-Bulk, functional PBE.

It has space group F-43m (No. 216), with a = 7.6782 Å, b = 7.6782 Å, c = 7.6782 Å, α = 90.00°, β = 90.00° and γ = 90.00°. The asymmetric unit holds Na at (0.0000, 0.0000, 0.0000), Li at (0.2500, 0.2500, 0.2500), Eu at (0.2500, 0.2500, 0.7500) and In at (0.0000, 0.0000, 0.5000).

The formation energy is -0.122 eV/atom. The total energy is -66.9 eV for the cell shown. The total magnetic moment is 7.8 μB per formula unit.

---

Record 9
A geometry-optimized LiEuInNi structure. Source: Alexandria via LeMat-Bulk, functional PBE.

It has space group F-43m (No. 216), with a = 6.8327 Å, b = 6.8327 Å, c = 6.8327 Å, α = 90.00°, β = 90.00° and γ = 90.00°. The asymmetric unit holds Li at (0.0000, 0.0000, 0.0000), Eu at (0.2500, 0.2500, 0.7500), In at (0.2500, 0.2500, 0.2500) and Ni at (0.0000, 0.0000, 0.5000).

The formation energy is -0.174 eV/atom. The total energy is -85.6 eV for the cell shown. The total magnetic moment is 7.3 μB per formula unit.

---

Record 10
A geometry-optimized LiEuInPb structure. Source: Alexandria via LeMat-Bulk, functional PBE.

It has space group F-43m (No. 216), with a = 7.5525 Å, b = 7.5525 Å, c = 7.5525 Å, α = 90.00°, β = 90.00° and γ = 90.00°. The asymmetric unit holds Li at (0.0000, 0.0000, 0.0000), Eu at (0.0000, 0.0000, 0.5000), In at (0.2500, 0.2500, 0.2500) and Pb at (0.2500, 0.2500, 0.7500).

The formation energy is -0.386 eV/atom. The total energy is -80.7 eV for the cell shown. The total magnetic moment is 7.0 μB per formula unit.

---

Record 11
A geometry-optimized LiEuInRh structure. Source: Alexandria via LeMat-Bulk, functional PBE.

It has space group F-43m (No. 216), with a = 6.8718 Å, b = 6.8718 Å, c = 6.8718 Å, α = 90.00°, β = 90.00° and γ = 90.00°. The asymmetric unit holds Li at (0.0000, 0.0000, 0.0000), Eu at (0.2500, 0.2500, 0.2500), In at (0.2500, 0.2500, 0.7500) and Rh at (0.0000, 0.0000, 0.5000).

The formation energy is -0.375 eV/atom. The total energy is -95.1 eV for the cell shown. The total magnetic moment is 7.0 μB per formula unit.

---

Record 12
A geometry-optimized LiEuTlIn structure. Source: Alexandria via LeMat-Bulk, functional PBE.

It has space group F-43m (No. 216), with a = 7.4709 Å, b = 7.4709 Å, c = 7.4709 Å, α = 90.00°, β = 90.00° and γ = 90.00°. The asymmetric unit holds Li at (0.0000, 0.0000, 0.0000), Eu at (0.0000, 0.0000, 0.5000), Tl at (0.2500, 0.2500, 0.2500) and In at (0.2500, 0.2500, 0.7500).

The formation energy is -0.336 eV/atom. The total energy is -74.5 eV for the cell shown. The total magnetic moment is 7.0 μB per formula unit.

---

Question: total magnetic moment of number 1 (LiEu2In)?
Answer: 14.8 μB per formula unit